1.
First-principles (PBE) data for a geometry-optimized ErTm2Ir2 structure, as listed in the Alexandria database.

Unit cell a=4.340 b=5.458 c=11.053 alpha=112.96 beta=90.00 gamma=90.00
Positions (direct):
Ir  0.250  0.876  0.643
Ir  0.750  0.683  0.025
Ir  0.750  0.124  0.357
Ir  0.250  0.317  0.975
Er  0.750  0.189  0.792
Er  0.250  0.811  0.208
Tm  0.250  0.280  0.531
Tm  0.750  0.720  0.469
Tm  0.750  0.229  0.118
Tm  0.250  0.771  0.882

Calculated values
Electronic total energy ... -7.034 eV/atom
Spin magnetization ... 0.00 μB per atom
E_form ... -0.79 eV/atom
Calculated volume ... 120.54 Å³/f.u.


2.
First-principles (PBE) data for a geometry-optimized ErTmIr4 structure, as listed in the Alexandria database.

Unit cell a=5.334 b=5.334 c=5.334 alpha=60.00 beta=60.00 gamma=60.00
Positions (direct):
Ir  0.625  0.625  0.125
Ir  0.625  0.625  0.625
Ir  0.625  0.125  0.625
Ir  0.125  0.625  0.625
Er  0.000  0.000  0.000
Tm  0.250  0.250  0.250

Calculated values
Electronic total energy ... -8.242 eV/atom
Spin magnetization ... 0.00 μB per atom
E_form ... -0.83 eV/atom
Calculated volume ... 107.34 Å³/f.u.


3.
First-principles (PBE) data for a geometry-optimized ErTm5Ir6 structure, as listed in the Alexandria database.

Unit cell a=4.667 b=7.086 c=7.392 alpha=90.00 beta=71.53 gamma=90.00
Positions (direct):
Tm  0.333  0.000  0.334
Tm  0.667  0.000  0.666
Tm  0.000  0.500  0.000
Tm  0.333  0.500  0.333
Tm  0.667  0.500  0.667
Ir  0.833  0.250  0.334
Ir  0.500  0.749  0.000
Ir  0.833  0.750  0.334
Ir  0.500  0.251  0.000
Ir  0.167  0.750  0.666
Ir  0.167  0.250  0.666
Er  0.000  0.000  0.000

Calculated values
Electronic total energy ... -7.587 eV/atom
Spin magnetization ... 0.00 μB per atom
E_form ... -0.91 eV/atom
Calculated volume ... 231.87 Å³/f.u.


4.
First-principles (PBE) data for a geometry-optimized ErTmIr2 structure, as listed in the Alexandria database.

Unit cell a=4.792 b=4.792 c=4.792 alpha=60.00 beta=60.00 gamma=60.00
Positions (direct):
Ir  0.750  0.750  0.750
Ir  0.250  0.250  0.250
Er  0.000  0.000  0.000
Tm  0.500  0.500  0.500

Calculated values
Electronic total energy ... -7.585 eV/atom
Spin magnetization ... 0.00 μB per atom
E_form ... -0.90 eV/atom
Calculated volume ... 77.82 Å³/f.u.


Q: Which of these has the lowest calculated volume?
A: ErTmIr2


Q: E_form of number 2 (ErTmIr4)?
A: -0.83 eV/atom


Q: Among the records above, which one has the lowest calculated volume?
A: ErTmIr2